Density functional theory data (meta-GGA SCAN) for LaNiAu2 at its PBEsol-relaxed geometry.

Output
- formation energy (kJ/mol of formula units) = -200
- E (eV/atom) = -49.9173
- magnetization (μB per atom) = 0.00

Unit cell a=4.064 b=4.280 c=4.983 alpha=90.00 beta=110.18 gamma=90.00
Fractional positions:
La 0.000 0.000 0.000
Ni 0.500 0.000 0.500
Au 0.339 0.500 0.705
Au 0.661 0.500 0.295

=====

Density functional theory data (meta-GGA SCAN) for LaNi2Au at its PBEsol-relaxed geometry.

Output
- formation energy (kJ/mol of formula units) = -29
- E (eV/atom) = -36.2279
- magnetization (μB per atom) = 0.00

Unit cell a=3.555 b=3.555 c=5.440 alpha=90.00 beta=90.00 gamma=90.00
Fractional positions:
La 0.000 0.000 0.000
Ni 0.000 0.000 0.468
Ni 0.500 0.500 0.225
Au 0.500 0.500 0.677